Arrangement A

La3AlGa, optimized geometry, DFT GGA-PBE; spin magnetization = 0.0000 μB per atom
1.0
-0.342 4.933 -0.855
-3.665 -1.562 -7.548
-4.828 0.875 6.984
La Ga Al
6 2 2
Cartesian
-2.473 0.792 -1.804
-5.962 0.510 -2.036
-6.361 3.455 0.385
-3.979 0.150 -4.908
-2.872 3.737 0.617
-4.856 4.097 3.489
-4.525 1.296 1.923
-4.309 2.951 -3.342
0.000 0.000 0.000
-0.171 2.467 -0.427


Arrangement B

La3AlGa, optimized geometry, DFT GGA-PBE; spin magnetization = 0.0000 μB per atom
1.0
5.862 0.000 0.000
0.000 5.862 0.000
0.000 0.000 5.862
La Ga Al
3 1 1
Cartesian
0.000 2.931 0.000
0.000 0.000 2.931
2.931 0.000 0.000
2.931 2.931 2.931
0.000 0.000 0.000


arrangement A ends up most stable, edging out the next structure by 0.443 eV/atom.


Arrangement A

LaAlGa3, optimized geometry, DFT GGA-PBE; spin magnetization = 0.0000 μB per atom
1.0
-5.044 -2.630 -0.596
1.905 -4.369 3.161
-1.909 2.590 4.729
Ga La Al
3 1 1
Cartesian
0.952 -2.185 1.581
-2.522 -1.315 -0.298
-0.954 1.295 2.365
0.000 0.000 0.000
-2.524 -2.205 3.647


Arrangement B

LaAlGa3, optimized geometry, DFT GGA-PBE; spin magnetization = 0.0000 μB per atom
1.0
4.176 0.000 -1.683
-0.678 4.121 -1.683
0.025 0.030 6.086
Al Ga La
1 3 1
Cartesian
2.253 2.654 -0.433
3.037 1.118 1.515
0.610 3.179 1.515
1.419 1.671 3.521
0.047 0.056 0.118


arrangement B ends up most stable, edging out the next structure by 1.374 eV/atom.


Arrangement A

La8AlGa2, optimized geometry, DFT GGA-PBE; spin magnetization = 0.0000 μB per atom
1.0
4.866 0.000 -1.481
-1.313 7.594 -4.313
0.110 0.050 9.096
La Al Ga
8 1 2
Cartesian
0.537 1.096 1.766
3.126 6.548 1.537
1.003 4.356 3.297
2.069 6.704 -1.935
2.660 3.288 0.006
4.097 5.138 4.726
-0.433 2.506 -1.423
1.594 0.940 5.237
2.433 0.000 -0.740
3.583 2.346 3.040
0.080 5.299 0.263


Arrangement B

La8AlGa2, optimized geometry, DFT GGA-PBE; spin magnetization = 0.0000 μB per atom
1.0
-4.934 2.962 1.095
0.772 -4.905 6.981
5.720 6.295 -1.017
La Ga Al
8 2 1
Cartesian
2.390 1.736 3.910
1.522 1.704 0.313
-0.563 -0.861 5.698
0.406 -0.821 2.116
1.152 5.173 4.942
2.121 5.213 1.361
0.036 2.648 6.746
-0.832 2.616 3.149
2.282 -1.487 4.540
4.210 2.877 1.424
-2.467 1.481 0.548


arrangement A ends up most stable, edging out the next structure by 0.013 eV/atom.